Run A
The following is a DFT calculation (meta-GGA SCAN) of Fe2IrAu at its PBEsol-relaxed geometry.

```
data_Fe2IrAu
_chemical_formula_sum 'Fe4 Ir2 Au2'
_cell_length_a 3.836
_cell_length_b 3.836
_cell_length_c 7.382
_cell_angle_alpha 90.00
_cell_angle_beta 90.00
_cell_angle_gamma 90.00
_symmetry_space_group_name_H-M 'I 4/m m m'
_symmetry_Int_Tables_number 139
_symmetry_space_group_name_Hall '-I 4 2'
loop_
_atom_site_label
_atom_site_type_symbol
_atom_site_fract_x
_atom_site_fract_y
_atom_site_fract_z
Fe1 Fe 0.000 0.500 0.250
Ir1 Ir 0.000 0.000 0.000
Au1 Au 0.000 0.000 0.500
```



Run B
The following is a DFT calculation (meta-GGA SCAN) of Fe2IrAu at its PBEsol-relaxed geometry.

```
data_Fe2IrAu
_chemical_formula_sum 'Fe4 Ir2 Au2'
_cell_length_a 4.042
_cell_length_b 2.676
_cell_length_c 9.904
_cell_angle_alpha 90.00
_cell_angle_beta 90.00
_cell_angle_gamma 90.00
_symmetry_space_group_name_H-M 'A m m 2'
_symmetry_Int_Tables_number 38
_symmetry_space_group_name_Hall 'A 2 -2'
loop_
_atom_site_label
_atom_site_type_symbol
_atom_site_fract_x
_atom_site_fract_y
_atom_site_fract_z
Fe1 Fe 0.000 0.000 0.000
Fe2 Fe 0.500 0.000 0.129
Ir1 Ir 0.500 0.000 0.404
Au1 Au 0.000 0.000 0.740
```



The structure with the greatest stability is run A.



Run A
The following is a DFT calculation (meta-GGA SCAN) of KFeAu at its PBEsol-relaxed geometry.

```
data_KFeAu
_chemical_formula_sum 'K2 Fe2 Au2'
_cell_length_a 3.493
_cell_length_b 3.493
_cell_length_c 11.836
_cell_angle_alpha 90.00
_cell_angle_beta 90.00
_cell_angle_gamma 90.00
_symmetry_space_group_name_H-M 'I 4 m m'
_symmetry_Int_Tables_number 107
_symmetry_space_group_name_Hall 'I 4 -2'
loop_
_atom_site_label
_atom_site_type_symbol
_atom_site_fract_x
_atom_site_fract_y
_atom_site_fract_z
K1 K 0.000 0.000 0.000
Fe1 Fe 0.000 0.000 0.733
Au1 Au 0.000 0.000 0.279
```



Run B
The following is a DFT calculation (meta-GGA SCAN) of KFeAu at its PBEsol-relaxed geometry.

```
data_KFeAu
_chemical_formula_sum 'K4 Fe4 Au4'
_cell_length_a 6.935
_cell_length_b 6.935
_cell_length_c 6.935
_cell_angle_alpha 90.00
_cell_angle_beta 90.00
_cell_angle_gamma 90.00
_symmetry_space_group_name_H-M 'F -4 3 m'
_symmetry_Int_Tables_number 216
_symmetry_space_group_name_Hall 'F -4 2 3'
loop_
_atom_site_label
_atom_site_type_symbol
_atom_site_fract_x
_atom_site_fract_y
_atom_site_fract_z
K1 K 0.000 0.000 0.000
Fe1 Fe 0.250 0.250 0.250
Au1 Au 0.250 0.250 0.750
```



The structure with the greatest stability is run A.



Run A
The following is a DFT calculation (meta-GGA SCAN) of FeMoAu2 at its PBEsol-relaxed geometry.

```
data_FeMoAu2
_chemical_formula_sum 'Fe2 Mo2 Au4'
_cell_length_a 9.278
_cell_length_b 2.721
_cell_length_c 4.851
_cell_angle_alpha 90.00
_cell_angle_beta 99.32
_cell_angle_gamma 90.00
_symmetry_space_group_name_H-M 'C 1 2/m 1'
_symmetry_Int_Tables_number 12
_symmetry_space_group_name_Hall '-C 2y'
loop_
_atom_site_label
_atom_site_type_symbol
_atom_site_fract_x
_atom_site_fract_y
_atom_site_fract_z
Fe1 Fe 0.000 0.000 0.000
Mo1 Mo 0.000 0.500 0.500
Au1 Au 0.248 0.500 0.247
```



Run B
The following is a DFT calculation (meta-GGA SCAN) of FeMoAu2 at its PBEsol-relaxed geometry.

```
data_FeMoAu2
_chemical_formula_sum 'Fe2 Mo2 Au4'
_cell_length_a 2.977
_cell_length_b 4.556
_cell_length_c 8.948
_cell_angle_alpha 90.00
_cell_angle_beta 90.00
_cell_angle_gamma 90.00
_symmetry_space_group_name_H-M 'I m m 2'
_symmetry_Int_Tables_number 44
_symmetry_space_group_name_Hall 'I 2 -2'
loop_
_atom_site_label
_atom_site_type_symbol
_atom_site_fract_x
_atom_site_fract_y
_atom_site_fract_z
Fe1 Fe 0.000 0.000 0.000
Mo1 Mo 0.000 0.500 0.695
Au1 Au 0.000 0.000 0.476
Au2 Au 0.000 0.500 0.257
```



Run C
The following is a DFT calculation (meta-GGA SCAN) of FeMoAu2 at its PBEsol-relaxed geometry.

```
data_FeMoAu2
_chemical_formula_sum 'Fe4 Mo4 Au8'
_cell_length_a 6.271
_cell_length_b 6.271
_cell_length_c 6.271
_cell_angle_alpha 90.00
_cell_angle_beta 90.00
_cell_angle_gamma 90.00
_symmetry_space_group_name_H-M 'F m -3 m'
_symmetry_Int_Tables_number 225
_symmetry_space_group_name_Hall '-F 4 2 3'
loop_
_atom_site_label
_atom_site_type_symbol
_atom_site_fract_x
_atom_site_fract_y
_atom_site_fract_z
Fe1 Fe 0.000 0.000 0.000
Mo1 Mo 0.000 0.000 0.500
Au1 Au 0.250 0.250 0.250
```



Run D
The following is a DFT calculation (meta-GGA SCAN) of FeMoAu2 at its PBEsol-relaxed geometry.

```
data_FeMoAu2
_chemical_formula_sum 'Fe4 Mo4 Au8'
_cell_length_a 6.246
_cell_length_b 6.246
_cell_length_c 6.246
_cell_angle_alpha 90.00
_cell_angle_beta 90.00
_cell_angle_gamma 90.00
_symmetry_space_group_name_H-M 'F -4 3 m'
_symmetry_Int_Tables_number 216
_symmetry_space_group_name_Hall 'F -4 2 3'
loop_
_atom_site_label
_atom_site_type_symbol
_atom_site_fract_x
_atom_site_fract_y
_atom_site_fract_z
Fe1 Fe 0.000 0.000 0.000
Mo1 Mo 0.250 0.250 0.250
Au1 Au 0.000 0.000 0.500
Au2 Au 0.250 0.250 0.750
```



The structure with the greatest stability is run D.



Run A
The following is a DFT calculation (meta-GGA SCAN) of FeOs2Au at its PBEsol-relaxed geometry.

```
data_FeOs2Au
_chemical_formula_sum 'Fe2 Os4 Au2'
_cell_length_a 3.805
_cell_length_b 3.805
_cell_length_c 7.668
_cell_angle_alpha 90.00
_cell_angle_beta 90.00
_cell_angle_gamma 90.00
_symmetry_space_group_name_H-M 'I -4 m 2'
_symmetry_Int_Tables_number 119
_symmetry_space_group_name_Hall 'I -4 -2'
loop_
_atom_site_label
_atom_site_type_symbol
_atom_site_fract_x
_atom_site_fract_y
_atom_site_fract_z
Fe1 Fe 0.000 0.000 0.000
Os1 Os 0.000 0.000 0.500
Os2 Os 0.000 0.500 0.250
Au1 Au 0.000 0.500 0.750
```



Run B
The following is a DFT calculation (meta-GGA SCAN) of FeOs2Au at its PBEsol-relaxed geometry.

```
data_FeOs2Au
_chemical_formula_sum 'Fe1 Os2 Au1'
_cell_length_a 2.726
_cell_length_b 2.726
_cell_length_c 7.652
_cell_angle_alpha 90.00
_cell_angle_beta 90.00
_cell_angle_gamma 90.00
_symmetry_space_group_name_H-M 'P 4 m m'
_symmetry_Int_Tables_number 99
_symmetry_space_group_name_Hall 'P 4 -2'
loop_
_atom_site_label
_atom_site_type_symbol
_atom_site_fract_x
_atom_site_fract_y
_atom_site_fract_z
Fe1 Fe 0.000 0.000 0.000
Os1 Os 0.000 0.000 0.471
Os2 Os 0.500 0.500 0.242
Au1 Au 0.500 0.500 0.752
```



Run C
The following is a DFT calculation (meta-GGA SCAN) of FeOs2Au at its PBEsol-relaxed geometry.

```
data_FeOs2Au
_chemical_formula_sum 'Fe2 Os4 Au2'
_cell_length_a 8.933
_cell_length_b 2.740
_cell_length_c 4.683
_cell_angle_alpha 90.00
_cell_angle_beta 100.20
_cell_angle_gamma 90.00
_symmetry_space_group_name_H-M 'C 1 m 1'
_symmetry_Int_Tables_number 8
_symmetry_space_group_name_Hall 'C -2y'
loop_
_atom_site_label
_atom_site_type_symbol
_atom_site_fract_x
_atom_site_fract_y
_atom_site_fract_z
Fe1 Fe 0.000 0.000 0.000
Os1 Os 0.010 0.500 0.545
Os2 Os 0.254 0.000 0.745
Au1 Au 0.253 0.500 0.244
```



The structure with the greatest stability is run B.



Run A
The following is a DFT calculation (meta-GGA SCAN) of Fe2PtAu at its PBEsol-relaxed geometry.

```
data_Fe2PtAu
_chemical_formula_sum 'Fe4 Pt2 Au2'
_cell_length_a 3.814
_cell_length_b 3.814
_cell_length_c 7.608
_cell_angle_alpha 90.00
_cell_angle_beta 90.00
_cell_angle_gamma 90.00
_symmetry_space_group_name_H-M 'I 4/m m m'
_symmetry_Int_Tables_number 139
_symmetry_space_group_name_Hall '-I 4 2'
loop_
_atom_site_label
_atom_site_type_symbol
_atom_site_fract_x
_atom_site_fract_y
_atom_site_fract_z
Fe1 Fe 0.000 0.500 0.250
Pt1 Pt 0.000 0.000 0.000
Au1 Au 0.000 0.000 0.500
```



Run B
The following is a DFT calculation (meta-GGA SCAN) of Fe2PtAu at its PBEsol-relaxed geometry.

```
data_Fe2PtAu
_chemical_formula_sum 'Fe4 Pt2 Au2'
_cell_length_a 8.976
_cell_length_b 2.741
_cell_length_c 4.634
_cell_angle_alpha 90.00
_cell_angle_beta 104.43
_cell_angle_gamma 90.00
_symmetry_space_group_name_H-M 'C 1 m 1'
_symmetry_Int_Tables_number 8
_symmetry_space_group_name_Hall 'C -2y'
loop_
_atom_site_label
_atom_site_type_symbol
_atom_site_fract_x
_atom_site_fract_y
_atom_site_fract_z
Fe1 Fe 0.000 0.000 0.000
Fe2 Fe 0.223 0.500 0.264
Pt1 Pt 0.249 0.000 0.790
Au1 Au 0.480 0.000 0.486
```



The structure with the greatest stability is run A.



Run A
The following is a DFT calculation (meta-GGA SCAN) of FeRhAu2 at its PBEsol-relaxed geometry.

```
data_FeRhAu2
_chemical_formula_sum 'Fe1 Rh1 Au2'
_cell_length_a 2.779
_cell_length_b 2.779
_cell_length_c 7.660
_cell_angle_alpha 90.00
_cell_angle_beta 90.00
_cell_angle_gamma 90.00
_symmetry_space_group_name_H-M 'P 4 m m'
_symmetry_Int_Tables_number 99
_symmetry_space_group_name_Hall 'P 4 -2'
loop_
_atom_site_label
_atom_site_type_symbol
_atom_site_fract_x
_atom_site_fract_y
_atom_site_fract_z
Fe1 Fe 0.000 0.000 0.000
Rh1 Rh 0.500 0.500 0.206
Au1 Au 0.000 0.000 0.472
Au2 Au 0.500 0.500 0.756
```



Run B
The following is a DFT calculation (meta-GGA SCAN) of FeRhAu2 at its PBEsol-relaxed geometry.

```
data_FeRhAu2
_chemical_formula_sum 'Fe2 Rh2 Au4'
_cell_length_a 5.438
_cell_length_b 7.727
_cell_length_c 2.831
_cell_angle_alpha 90.00
_cell_angle_beta 90.00
_cell_angle_gamma 90.00
_symmetry_space_group_name_H-M 'C m m m'
_symmetry_Int_Tables_number 65
_symmetry_space_group_name_Hall '-C 2 2'
loop_
_atom_site_label
_atom_site_type_symbol
_atom_site_fract_x
_atom_site_fract_y
_atom_site_fract_z
Fe1 Fe 0.000 0.000 0.000
Rh1 Rh 0.000 0.500 0.000
Au1 Au 0.250 0.250 0.500
```



The structure with the greatest stability is run A.